No. 1
Below is a relaxed Nd2ErGa3Pd4 crystal, with properties calculated at the GGA-PBE level.

abc: 4.2863 4.2863 11.2997
angles: 90.00 90.00 90.00
Closest atoms and distances in Å follow each position.
Positions (direct):
1 Ga 0.0000 0.5000 0.1218  5 Pd 2.52-2.55
2 Ga 0.0000 0.0000 0.5000  4 Pd 2.77, 4 Er 3.03
3 Ga 0.5000 0.0000 0.8782  5 Pd 2.52-2.55
4 Er 0.5000 0.5000 0.5000  4 Pd 2.77, 4 Ga 3.03
5 Nd 0.0000 0.5000 0.7727  4 Ga 3.26, 8 Pd 3.31-3.35
6 Nd 0.5000 0.0000 0.2273  4 Ga 3.26, 8 Pd 3.31-3.35
7 Pd 0.0000 0.5000 0.3446  3 Ga 2.52-2.77, 2 Er 2.77
8 Pd 0.5000 0.0000 0.6554  3 Ga 2.52-2.77, 2 Er 2.77
9 Pd 0.0000 0.0000 0.0000  4 Ga 2.55
10 Pd 0.5000 0.5000 0.0000  4 Ga 2.55

Calculated values
D(E_F)	8.4	states/eV/f.u.
calculated formation energy	-8.02	eV per formula unit
space-group type	P-4m2 (115)
uncorrected energy	-0.382	Ry per atom
spin magnetization	0.00	μB per formula unit
V	20.8	A^3/atom

No. 2
Below is a relaxed BaSrAs3 crystal, with properties calculated at the GGA-PBE level.

abc: 5.7714 5.7714 5.7714
angles: 90.00 90.00 90.00
Closest atoms and distances in Å follow each position.
Positions (direct):
1 Sr 0.5000 0.5000 0.5000  12 As 4.08
2 As 0.5000 0.0000 0.0000  2 Ba 2.89
3 As 0.0000 0.5000 0.0000  2 Ba 2.89
4 As 0.0000 0.0000 0.5000  2 Ba 2.89
5 Ba 0.0000 0.0000 0.0000  6 As 2.89

Calculated values
D(E_F)	4.3	states/eV/f.u.
excess energy over the best structure of this formula in the dataset	1093	meV/atom
calculated formation energy	1.34	eV per formula unit
space-group type	Pm-3m (221)
uncorrected energy	-0.238	Ry per atom
spin magnetization	0.00	μB per formula unit
V	38.4	A^3/atom

No. 3
Below is a relaxed NbFe2Cu2 crystal, with properties calculated at the GGA-PBE level.

abc: 7.0985 7.0985 2.6163
angles: 90.00 90.00 90.00
Closest atoms and distances in Å follow each position.
Positions (direct):
1 Cu 0.8235 0.3235 0.5000  6 Fe 2.44-2.50, 2 Cu 2.62
2 Cu 0.3235 0.1765 0.5000  6 Fe 2.44-2.50, 2 Cu 2.62
3 Cu 0.1765 0.6765 0.5000  6 Fe 2.44-2.50, 2 Cu 2.62
4 Cu 0.6765 0.8235 0.5000  6 Fe 2.44-2.50, 2 Cu 2.62
5 Fe 0.3815 0.8815 0.0000  3 Fe 2.38-2.62, 6 Cu 2.44-2.50
6 Fe 0.1185 0.3815 0.0000  3 Fe 2.38-2.62, 6 Cu 2.44-2.50
7 Fe 0.8815 0.6185 0.0000  3 Fe 2.38-2.62, 6 Cu 2.44-2.50
8 Fe 0.6185 0.1185 0.0000  3 Fe 2.38-2.62, 6 Cu 2.44-2.50
9 Nb 0.0000 0.0000 0.0000  2 Nb 2.62, 4 Fe 2.84, 8 Cu 2.92
10 Nb 0.5000 0.5000 0.0000  2 Nb 2.62, 4 Fe 2.84, 8 Cu 2.92

Calculated values
D(E_F)	4.4	states/eV/f.u.
excess energy over the best structure of this formula in the dataset	0	meV/atom
calculated formation energy	1.08	eV per formula unit
space-group type	P4/mbm (127)
uncorrected energy	-0.501	Ry per atom
spin magnetization	4.46	μB per formula unit
V	13.2	A^3/atom

No. 4
Below is a relaxed Be2Al2Ge crystal, with properties calculated at the GGA-PBE level.

abc: 7.1622 7.1622 2.6942
angles: 90.00 90.00 90.00
Closest atoms and distances in Å follow each position.
Positions (direct):
1 Be 0.3899 0.8899 0.0000  1 Be 2.23
2 Be 0.6101 0.1101 0.0000  1 Be 2.23
3 Be 0.8899 0.6101 0.0000  1 Be 2.23
4 Be 0.1101 0.3899 0.0000  1 Be 2.23
5 Ge 0.5000 0.5000 0.0000  2 Ge 2.69, 4 Be 2.90, 8 Al 2.95
6 Ge 0.0000 0.0000 0.0000  2 Ge 2.69, 4 Be 2.90, 8 Al 2.95
7 Al 0.6819 0.8181 0.5000  6 Be 2.50-2.54, 2 Al 2.69
8 Al 0.3181 0.1819 0.5000  6 Be 2.50-2.54, 2 Al 2.69
9 Al 0.8181 0.3181 0.5000  6 Be 2.50-2.54, 2 Al 2.69
10 Al 0.1819 0.6819 0.5000  6 Be 2.50-2.54, 2 Al 2.69

Calculated values
D(E_F)	2.0	states/eV/f.u.
calculated formation energy	1.42	eV per formula unit
space-group type	P4/mbm (127)
uncorrected energy	-0.267	Ry per atom
spin magnetization	0.00	μB per formula unit
V	13.8	A^3/atom

No. 5
Below is a relaxed NaTl3Sn crystal, with properties calculated at the GGA-PBE level.

abc: 9.0975 8.5368 8.5368
angles: 86.45 71.60 71.60
Closest atoms and distances in Å follow each position.
Positions (direct):
1 Sn 0.3437 0.7292 0.4159  1 Sn 2.97, 3 Tl 3.16-3.29
2 Sn 0.8437 0.4159 0.7292  1 Sn 2.97, 3 Tl 3.16-3.29
3 Sn 0.6563 0.2708 0.5841  1 Sn 2.97, 3 Tl 3.16-3.29
4 Sn 0.1563 0.5841 0.2708  1 Sn 2.97, 3 Tl 3.16-3.29
5 Tl 0.6418 0.7107 0.0201  2 Sn 3.29-3.58, 3 Na 3.35-3.53, 5 Tl 3.39-3.65
6 Tl 0.9643 0.3152 0.0406  1 Sn 3.16, 5 Tl 3.29-3.51
7 Tl 0.5357 0.9594 0.6848  1 Sn 3.16, 5 Tl 3.29-3.51
8 Tl 0.9305 0.7677 0.6214  3 Sn 3.21-3.53, 4 Tl 3.29-3.56, 2 Na 3.42-3.50
9 Tl 0.4305 0.6214 0.7677  3 Sn 3.21-3.53, 4 Tl 3.29-3.56, 2 Na 3.42-3.50
10 Tl 0.0357 0.6848 0.9594  1 Sn 3.16, 5 Tl 3.29-3.51
11 Tl 0.0695 0.2323 0.3786  3 Sn 3.21-3.53, 4 Tl 3.29-3.56, 2 Na 3.42-3.50
12 Tl 0.5695 0.3786 0.2323  3 Sn 3.21-3.53, 4 Tl 3.29-3.56, 2 Na 3.42-3.50
13 Tl 0.3582 0.2893 0.9799  2 Sn 3.29-3.58, 3 Na 3.35-3.53, 5 Tl 3.39-3.65
14 Tl 0.8582 0.9799 0.2893  2 Sn 3.29-3.58, 3 Na 3.35-3.53, 5 Tl 3.39-3.65
15 Tl 0.4643 0.0406 0.3152  1 Sn 3.16, 5 Tl 3.29-3.51
16 Tl 0.1418 0.0201 0.7107  2 Sn 3.29-3.58, 3 Na 3.35-3.53, 5 Tl 3.39-3.65
17 Na 0.2500 0.9257 0.0743  10 Tl 3.35-3.60, 2 Sn 3.48
18 Na 0.2500 0.3847 0.6153  4 Sn 3.44-3.51, 8 Tl 3.50-3.63
19 Na 0.7500 0.0743 0.9257  10 Tl 3.35-3.60, 2 Sn 3.48
20 Na 0.7500 0.6153 0.3847  4 Sn 3.44-3.51, 8 Tl 3.50-3.63

Calculated values
D(E_F)	2.6	states/eV/f.u.
excess energy over the best structure of this formula in the dataset	0	meV/atom
calculated formation energy	-0.20	eV per formula unit
space-group type	C2/c (15)
uncorrected energy	-0.185	Ry per atom
spin magnetization	0.00	μB per formula unit
V	29.8	A^3/atom

No. 6
Below is a relaxed HfSi2Rh2 crystal, with properties calculated at the GGA-PBE level.

abc: 7.2505 7.2505 2.7950
angles: 90.00 90.00 90.00
Closest atoms and distances in Å follow each position.
Positions (direct):
1 Si 0.3528 0.8528 0.0000  6 Rh 2.53-2.55, 2 Hf 2.77, 2 Si 2.79
2 Si 0.6472 0.1472 0.0000  6 Rh 2.53-2.55, 2 Hf 2.77, 2 Si 2.79
3 Si 0.1472 0.3528 0.0000  6 Rh 2.53-2.55, 2 Hf 2.77, 2 Si 2.79
4 Si 0.8528 0.6472 0.0000  6 Rh 2.53-2.55, 2 Hf 2.77, 2 Si 2.79
5 Rh 0.8533 0.3533 0.5000  6 Si 2.53-2.55, 2 Rh 2.79
6 Rh 0.1467 0.6467 0.5000  6 Si 2.53-2.55, 2 Rh 2.79
7 Rh 0.3533 0.1467 0.5000  6 Si 2.53-2.55, 2 Rh 2.79
8 Rh 0.6467 0.8533 0.5000  6 Si 2.53-2.55, 2 Rh 2.79
9 Hf 0.0000 0.0000 0.0000  4 Si 2.77, 2 Hf 2.79
10 Hf 0.5000 0.5000 0.0000  4 Si 2.77, 2 Hf 2.79

Calculated values
D(E_F)	1.9	states/eV/f.u.
space-group type	P4/mbm (127)
uncorrected energy	-0.573	Ry per atom
spin magnetization	0.00	μB per formula unit
V	14.7	A^3/atom
formation energy from raw total energies	-697	meV/atom

No. 7
Below is a relaxed ZrBeVTc2 crystal, with properties calculated at the GGA-PBE level.

abc: 4.4578 4.2424 4.4578
angles: 90.00 90.00 90.00
Closest atoms and distances in Å follow each position.
Positions (direct):
1 Tc 0.0000 0.0000 0.5000  2 V 2.23
2 Tc 0.5000 0.0000 0.0000  2 V 2.23
3 V 0.0000 0.0000 0.0000  2 Be 2.12, 4 Tc 2.23
4 Be 0.0000 0.5000 0.0000  2 V 2.12
5 Zr 0.5000 0.5000 0.5000  8 Tc 3.08, 4 Be 3.15

Calculated values
D(E_F)	6.6	states/eV/f.u.
calculated formation energy	3.44	eV per formula unit
space-group type	P4/mmm (123)
uncorrected energy	-0.569	Ry per atom
spin magnetization	0.00	μB per formula unit
V	16.9	A^3/atom

No. 8
Below is a relaxed Be2Si crystal, with properties calculated at the GGA-PBE level.

abc: 4.4060 4.4060 4.4060
angles: 60.00 60.00 60.00
Closest atoms and distances in Å follow each position.
Positions (direct):
1 Be 0.6250 0.1250 0.6250  6 Be 2.20
2 Be 0.6250 0.6250 0.1250  6 Be 2.20
3 Be 0.1250 0.6250 0.6250  6 Be 2.20
4 Be 0.6250 0.6250 0.6250  6 Be 2.20
5 Si 0.0000 0.0000 0.0000  12 Be 2.58, 4 Si 2.70
6 Si 0.2500 0.2500 0.2500  12 Be 2.58, 4 Si 2.70

Calculated values
D(E_F)	2.1	states/eV/f.u.
excess energy over the best structure of this formula in the dataset	195	meV/atom
space-group type	Fd-3m (227)
uncorrected energy	-0.291	Ry per atom
spin magnetization	0.00	μB per formula unit
V	10.1	A^3/atom
formation energy from raw total energies	331	meV/atom

No. 9
Below is a relaxed La2Pr2Ho3 crystal, with properties calculated at the GGA-PBE level.

abc: 5.6842 5.6842 8.7773
angles: 98.11 103.19 115.45
Closest atoms and distances in Å follow each position.
Positions (direct):
1 Pr 0.4290 0.7139 0.1429  5 Ho 3.53-3.71, 4 La 3.55-3.62, 1 Pr 3.71
2 Pr 0.5710 0.2861 0.8571  5 Ho 3.53-3.71, 4 La 3.55-3.62, 1 Pr 3.71
3 Ho 0.2899 0.1415 0.4314  4 Ho 3.50-3.59, 2 Pr 3.53-3.71, 4 La 3.54-3.74
4 Ho 0.7101 0.8585 0.5686  4 Ho 3.50-3.59, 2 Pr 3.53-3.71, 4 La 3.54-3.74
5 Ho 0.0000 0.0000 0.0000  6 Pr 3.56-3.57, 2 Ho 3.59, 2 La 3.69
6 La 0.8639 0.4248 0.2887  1 La 3.50, 5 Ho 3.54-3.74, 4 Pr 3.55-3.62
7 La 0.1361 0.5752 0.7113  1 La 3.50, 5 Ho 3.54-3.74, 4 Pr 3.55-3.62

Calculated values
D(E_F)	14.5	states/eV/f.u.
excess energy over the best structure of this formula in the dataset	0	meV/atom
calculated formation energy	0.84	eV per formula unit
space-group type	C2/m (12)
uncorrected energy	-0.339	Ry per atom
spin magnetization	0.00	μB per formula unit
V	34.3	A^3/atom

No. 10
Below is a relaxed PmSb2Rh3 crystal, with properties calculated at the GGA-PBE level.

abc: 4.5808 4.5808 12.7876
angles: 90.00 90.00 120.00
Closest atoms and distances in Å follow each position.
Positions (direct):
1 Rh 0.3333 0.6667 0.3869  4 Sb 2.65-2.66
2 Rh 0.3333 0.6667 0.1131  4 Sb 2.65-2.66
3 Rh 0.6667 0.3333 0.8869  4 Sb 2.65-2.66
4 Rh 0.0000 0.0000 0.0000  6 Sb 2.91, 6 Rh 3.01, 2 Pm 3.20
5 Rh 0.6667 0.3333 0.6131  4 Sb 2.65-2.66
6 Rh 0.0000 0.0000 0.5000  6 Sb 2.91, 6 Rh 3.01, 2 Pm 3.20
7 Sb 0.6667 0.3333 0.4059  7 Rh 2.65-2.91
8 Sb 0.3333 0.6667 0.9059  7 Rh 2.65-2.91
9 Sb 0.6667 0.3333 0.0941  7 Rh 2.65-2.91
10 Sb 0.3333 0.6667 0.5941  7 Rh 2.65-2.91
11 Pm 0.0000 0.0000 0.7500  8 Rh 3.17-3.20, 6 Sb 3.31
12 Pm 0.0000 0.0000 0.2500  8 Rh 3.17-3.20, 6 Sb 3.31

Calculated values
D(E_F)	3.2	states/eV/f.u.
excess energy over the best structure of this formula in the dataset	30	meV/atom
space-group type	P6_3/mmc (194)
uncorrected energy	-0.481	Ry per atom
spin magnetization	0.00	μB per formula unit
V	19.4	A^3/atom
formation energy from raw total energies	-701	meV/atom